Record 1
# Ta2AsRu

A geometry-optimized Ta2AsRu structure (PBE-GGA, Alexandria).

Cell lengths 4.5242, 4.5242, 4.5242 Å; angles 60.00, 60.00, 60.00 degrees
Last column: nearest neighbours and their distance in Å.
Sites, in units of the cell vectors:
Ta (0.0000, 0.0000, 0.0000)  4 Ta 2.77, 4 Ru 2.77
Ta (0.2500, 0.2500, 0.2500)  4 As 2.77, 4 Ta 2.77
As (0.5000, 0.5000, 0.5000)  4 Ta 2.77, 4 Ru 2.77
Ru (0.7500, 0.7500, 0.7500)  4 As 2.77, 4 Ta 2.77

## Properties
VASP energy	-37.10	eV/cell
magnetic moment	0.00	μB/f.u.
calculated formation energy	0.134	eV/atom
N(E_F)	1.16	states/eV/atom



Record 2
# YV3P

A geometry-optimized YV3P structure (PBE-GGA, Alexandria).

Cell lengths 4.6175, 4.6175, 4.6175 Å; angles 90.00, 90.00, 90.00 degrees
Last column: nearest neighbours and their distance in Å.
Sites, in units of the cell vectors:
Y (0.0000, 0.0000, 0.0000)  6 V 2.31
V (0.0000, 0.0000, 0.5000)  2 Y 2.31
V (0.0000, 0.5000, 0.0000)  2 Y 2.31
V (0.5000, 0.0000, 0.0000)  2 Y 2.31
P (0.5000, 0.5000, 0.5000)  12 V 3.27

## Properties
VASP energy	-28.18	eV/cell
magnetic moment	0.63	μB/f.u.
polymorph energy (0 for the lowest one)	10.71	eV per formula unit
calculated formation energy	2.209	eV/atom
N(E_F)	1.81	states/eV/atom



Record 3
# AcCdCu3

A geometry-optimized AcCdCu3 structure (PBE-GGA, Alexandria).

Cell lengths 12.5436, 12.5436, 4.2280 Å; angles 90.00, 90.00, 161.44 degrees
Last column: nearest neighbours and their distance in Å.
Sites, in units of the cell vectors:
Ac (0.0805, 0.9195, 0.7500)  12 Cu 3.19-3.36
Ac (0.9195, 0.0805, 0.2500)  12 Cu 3.19-3.36
Cd (0.2072, 0.7928, 0.2500)  7 Cu 2.68-2.98
Cd (0.7928, 0.2072, 0.7500)  7 Cu 2.68-2.98
Cu (0.3154, 0.6846, 0.2500)  2 Cu 2.49, 1 Cd 2.68
Cu (0.3684, 0.6316, 0.7500)  3 Cu 2.49-2.57, 2 Cd 2.76
Cu (0.4722, 0.5278, 0.7500)  3 Cu 2.52-2.57
Cu (0.5278, 0.4722, 0.2500)  3 Cu 2.52-2.57
Cu (0.6316, 0.3684, 0.2500)  3 Cu 2.49-2.57, 2 Cd 2.76
Cu (0.6846, 0.3154, 0.7500)  2 Cu 2.49, 1 Cd 2.68

## Properties
VASP energy	-35.31	eV/cell
magnetic moment	0.00	μB/f.u.
calculated formation energy	-0.069	eV/atom
N(E_F)	0.34	states/eV/atom



Record 4
# AcSmGaHg

A geometry-optimized AcSmGaHg structure (PBE-GGA, Alexandria).

Cell lengths 5.4819, 5.4819, 5.4819 Å; angles 60.00, 60.00, 60.00 degrees
Last column: nearest neighbours and their distance in Å.
Sites, in units of the cell vectors:
Ac (0.0000, 0.0000, 0.0000)  4 Hg 3.36, 4 Ga 3.36
Sm (0.5000, 0.5000, 0.5000)  4 Hg 3.36, 4 Ga 3.36
Ga (0.2500, 0.2500, 0.2500)  4 Ac 3.36, 4 Sm 3.36
Hg (0.7500, 0.7500, 0.7500)  4 Ac 3.36, 4 Sm 3.36

## Properties
VASP energy	-13.91	eV/cell
magnetic moment	0.17	μB/f.u.
calculated formation energy	-0.438	eV/atom
N(E_F)	1.43	states/eV/atom



Record 5
# Ce6Sb5As

A geometry-optimized Ce6Sb5As structure (PBE-GGA, Alexandria).

Cell lengths 7.7157, 7.7157, 7.7137 Å; angles 99.62, 99.62, 120.00 degrees
Last column: nearest neighbours and their distance in Å.
Sites, in units of the cell vectors:
Ce (0.0806, 0.4027, 0.7423)  1 As 3.05, 5 Sb 3.15-3.20
Ce (0.2398, 0.2398, 0.2535)  1 As 3.06, 5 Sb 3.16-3.24
Ce (0.4027, 0.0806, 0.7423)  1 As 3.05, 5 Sb 3.15-3.20
Ce (0.5973, 0.9194, 0.2577)  1 As 3.05, 5 Sb 3.15-3.20
Ce (0.7602, 0.7602, 0.7465)  1 As 3.06, 5 Sb 3.16-3.24
Ce (0.9194, 0.5973, 0.2577)  1 As 3.05, 5 Sb 3.15-3.20
Sb (0.1717, 0.8283, 0.0000)  6 Ce 3.15-3.20
Sb (0.3342, 0.6658, 0.5000)  6 Ce 3.16
Sb (0.5000, 0.5000, 0.0000)  6 Ce 3.15-3.24
Sb (0.6658, 0.3342, 0.5000)  6 Ce 3.16
Sb (0.8283, 0.1717, 0.0000)  6 Ce 3.15-3.20
As (0.0000, 0.0000, 0.5000)  6 Ce 3.05-3.06

## Properties
VASP energy	-73.97	eV/cell
magnetic moment	4.96	μB/f.u.
uncorrected formation energy	-105.4	kJ per mole of atoms
N(E_F)	2.96	states/eV/atom



Record 6
# ReSeCl2

A geometry-optimized ReSeCl2 structure (PBE-GGA, Alexandria).

Cell lengths 5.3248, 5.3248, 3.4099 Å; angles 107.89, 107.89, 113.68 degrees
Last column: nearest neighbours and their distance in Å.
Sites, in units of the cell vectors:
Re (0.0000, 0.0000, 0.0000)  4 Cl 2.68, 4 Se 2.91-2.99
Se (0.5000, 0.5000, 0.0000)  4 Cl 2.68, 4 Re 2.91-2.99
Cl (0.0000, 0.5000, 0.5000)  2 Se 2.68, 2 Re 2.68, 4 Cl 2.91-2.99
Cl (0.5000, 0.0000, 0.5000)  2 Se 2.68, 2 Re 2.68, 4 Cl 2.91-2.99

## Properties
VASP energy	-15.74	eV/cell
magnetic moment	1.97	μB/f.u.
polymorph energy (0 for the lowest one)	4.66	eV per formula unit
uncorrected formation energy	93.7	kJ per mole of atoms
N(E_F)	0.71	states/eV/atom



Record 7
# Ti2BeCd

A geometry-optimized Ti2BeCd structure (PBE-GGA, Alexandria).

Cell lengths 9.7270, 9.7270, 9.7270 Å; angles 17.08, 17.08, 17.08 degrees
Last column: nearest neighbours and their distance in Å.
Sites, in units of the cell vectors:
Ti (0.1027, 0.1027, 0.1027)  3 Be 2.48
Ti (0.8973, 0.8973, 0.8973)  3 Be 2.48
Be (0.5000, 0.5000, 0.5000)  6 Ti 2.48
Cd (0.0000, 0.0000, 0.0000)  6 Cd 2.89, 2 Ti 2.95

## Properties
VASP energy	-18.90	eV/cell
magnetic moment	0.00	μB/f.u.
polymorph energy (0 for the lowest one)	1.66	eV per formula unit
calculated formation energy	0.382	eV/atom
N(E_F)	0.99	states/eV/atom



Record 8
# CaZrOs2

A geometry-optimized CaZrOs2 structure (PBE-GGA, Alexandria).

Cell lengths 2.9231, 2.9231, 9.2413 Å; angles 90.00, 90.00, 90.00 degrees
Last column: nearest neighbours and their distance in Å.
Sites, in units of the cell vectors:
Ca (0.0000, 0.0000, 0.0000)  4 Ca 2.92, 4 Os 3.08
Zr (0.5000, 0.5000, 0.6513)  4 Zr 2.92, 4 Os 2.97
Os (0.0000, 0.0000, 0.4206)  8 Os 2.62-2.92
Os (0.5000, 0.5000, 0.2464)  8 Os 2.62-2.92

## Properties
VASP energy	-32.18	eV/cell
magnetic moment	0.01	μB/f.u.
calculated formation energy	0.206	eV/atom
N(E_F)	0.68	states/eV/atom



Record 9
# Ge2BiPd2

A geometry-optimized Ge2BiPd2 structure (PBE-GGA, Alexandria).

Cell lengths 5.8089, 5.8089, 5.8089 Å; angles 134.51, 134.51, 66.30 degrees
Last column: nearest neighbours and their distance in Å.
Sites, in units of the cell vectors:
Ge (0.1268, 0.1268, 0.0000)  1 Ge 2.47, 4 Pd 2.55
Ge (0.8732, 0.8732, 0.0000)  1 Ge 2.47, 4 Pd 2.55
Bi (0.5000, 0.5000, 0.0000)  8 Pd 3.31, 10 Ge 3.41-3.63
Pd (0.2500, 0.7500, 0.5000)  4 Ge 2.55
Pd (0.7500, 0.2500, 0.5000)  4 Ge 2.55

## Properties
VASP energy	-24.61	eV/cell
magnetic moment	0.00	μB/f.u.
polymorph energy (0 for the lowest one)	0.00	eV per formula unit
calculated formation energy	-0.222	eV/atom
N(E_F)	0.57	states/eV/atom



Record 10
# Pr3DyHo6Th2

A geometry-optimized Pr3DyHo6Th2 structure (PBE-GGA, Alexandria).

Cell lengths 6.2142, 6.2142, 11.7942 Å; angles 95.04, 95.04, 119.97 degrees
Last column: nearest neighbours and their distance in Å.
Sites, in units of the cell vectors:
Pr (0.0000, 0.0000, 0.0000)  6 Pr 3.59, 6 Ho 3.60-3.63
Pr (0.3338, 0.6662, 0.0000)  6 Pr 3.58-3.59, 6 Ho 3.61-3.63
Pr (0.6662, 0.3338, 0.0000)  6 Pr 3.58-3.59, 6 Ho 3.61-3.63
Dy (0.5000, 0.5000, 0.5000)  6 Ho 3.53, 6 Th 3.59
Ho (0.0812, 0.4188, 0.2559)  2 Th 3.50, 1 Dy 3.53, 6 Ho 3.56-3.64, 3 Pr 3.61-3.63
Ho (0.2436, 0.2436, 0.7444)  2 Th 3.50, 1 Dy 3.53, 6 Ho 3.56-3.64, 3 Pr 3.60-3.63
Ho (0.4188, 0.0812, 0.2559)  2 Th 3.50, 1 Dy 3.53, 6 Ho 3.56-3.64, 3 Pr 3.61-3.63
Ho (0.5812, 0.9188, 0.7441)  2 Th 3.50, 1 Dy 3.53, 6 Ho 3.56-3.64, 3 Pr 3.61-3.63
Ho (0.7564, 0.7564, 0.2556)  2 Th 3.50, 1 Dy 3.53, 6 Ho 3.56-3.64, 3 Pr 3.60-3.63
Ho (0.9188, 0.5812, 0.7441)  2 Th 3.50, 1 Dy 3.53, 6 Ho 3.56-3.64, 3 Pr 3.61-3.63
Th (0.1666, 0.8334, 0.5000)  6 Ho 3.50, 3 Th 3.58-3.59, 3 Dy 3.59
Th (0.8334, 0.1666, 0.5000)  6 Ho 3.50, 3 Th 3.58-3.59, 3 Dy 3.59

## Properties
VASP energy	-61.02	eV/cell
magnetic moment	0.00	μB/f.u.
calculated formation energy	0.019	eV/atom
N(E_F)	1.30	states/eV/atom



Record 11
# BaHgPdPb2

A geometry-optimized BaHgPdPb2 structure (PBE-GGA, Alexandria).

Cell lengths 5.4557, 5.4557, 5.3734 Å; angles 90.00, 90.00, 90.00 degrees
Last column: nearest neighbours and their distance in Å.
Sites, in units of the cell vectors:
Ba (0.0000, 0.0000, 0.0000)  8 Pb 3.83, 4 Hg 3.86
Hg (0.5000, 0.5000, 0.0000)  2 Pd 2.69
Pd (0.5000, 0.5000, 0.5000)  2 Hg 2.69, 4 Pb 2.73
Pb (0.0000, 0.5000, 0.5000)  2 Pd 2.73
Pb (0.5000, 0.0000, 0.5000)  2 Pd 2.73

## Properties
VASP energy	-16.09	eV/cell
magnetic moment	0.00	μB/f.u.
polymorph energy (0 for the lowest one)	0.00	eV per formula unit
calculated formation energy	-0.251	eV/atom
N(E_F)	0.67	states/eV/atom



Record 12
# TbPm2Nd2Tm

A geometry-optimized TbPm2Nd2Tm structure (PBE-GGA, Alexandria).

Cell lengths 7.0734, 5.7096, 9.8878 Å; angles 90.00, 90.00, 90.00 degrees
Last column: nearest neighbours and their distance in Å.
Sites, in units of the cell vectors:
Tb (0.2500, 0.0000, 0.1572)  5 Pm 3.23-3.54
Tb (0.7500, 0.0000, 0.8428)  5 Pm 3.23-3.54
Pm (0.2500, 0.0000, 0.8305)  2 Nd 3.23, 3 Tb 3.23-3.54
Pm (0.2500, 0.5000, 0.3372)  2 Tb 3.36, 7 Nd 3.37-3.72
Pm (0.7500, 0.0000, 0.1695)  2 Nd 3.23, 3 Tb 3.23-3.54
Pm (0.7500, 0.5000, 0.6628)  2 Tb 3.36, 7 Nd 3.37-3.72
Nd (0.0000, 0.0000, 0.5000)  6 Nd 3.54-3.79, 6 Pm 3.72, 2 Tb 3.82
Nd (0.2500, 0.5000, 0.6780)  5 Pm 3.23-3.54
Nd (0.5000, 0.0000, 0.5000)  6 Nd 3.54-3.79, 6 Pm 3.72, 2 Tb 3.82
Nd (0.7500, 0.5000, 0.3220)  5 Pm 3.23-3.54
Tm (0.0000, 0.5000, 0.0000)  2 Tm 3.54, 2 Nd 3.64, 4 Tb 3.70, 6 Pm 3.75-3.77
Tm (0.5000, 0.5000, 0.0000)  2 Tm 3.54, 2 Nd 3.64, 4 Tb 3.70, 6 Pm 3.75-3.77

## Properties
VASP energy	-55.57	eV/cell
magnetic moment	0.00	μB/f.u.
calculated formation energy	0.059	eV/atom
N(E_F)	1.52	states/eV/atom



Record 13
# ScGaC

A geometry-optimized ScGaC structure (PBE-GGA, Alexandria).

Cell lengths 8.9201, 8.9201, 8.9201 Å; angles 158.49, 158.49, 30.61 degrees
Last column: nearest neighbours and their distance in Å.
Sites, in units of the cell vectors:
Sc (0.1866, 0.1866, 0.0000)  5 C 2.26-2.36
Sc (0.8134, 0.8134, 0.0000)  5 C 2.26-2.36
Ga (0.4301, 0.4301, 0.0000)  1 C 1.93
Ga (0.5699, 0.5699, 0.0000)  1 C 1.93
C (0.3177, 0.3177, 0.0000)  1 Ga 1.93
C (0.6823, 0.6823, 0.0000)  1 Ga 1.93

## Properties
VASP energy	-38.32	eV/cell
magnetic moment	0.00	μB/f.u.
calculated formation energy	-0.193	eV/atom
N(E_F)	0.62	states/eV/atom



| no. | calculated volume (Å³ per atom) |
| --- | --- |
| 1 | 16.37 |
| 2 | 19.69 |
| 3 | 21.17 |
| 4 | 29.12 |
| 5 | 31.23 |
| 6 | 18.31 |
| 7 | 17.32 |
| 8 | 19.74 |
| 9 | 19.63 |
| 10 | 32.37 |
| 11 | 31.99 |
| 12 | 33.28 |
| 13 | 15.90 |